# In2NiBi

In2NiBi after structural relaxation (PBE-GGA, OQMD via LeMat-Bulk).

Properties
space-group type: F-43m, No. 216
crystal system: cubic
V: 93.3 Å³ per cell
uncorrected energy: -13.92 eV/cell

Cell: 5.0915 5.0915 5.0915 Å, 60.00 60.00 60.00°
With the nearest neighbours (Å) after each atom.
Sites, in units of the cell vectors:
In  0.0000  0.0000  0.0000  4 In 3.12, 4 Bi 3.12
In  0.2500  0.2500  0.2500  4 In 3.12, 4 Ni 3.12
Ni  0.5000  0.5000  0.5000  4 In 3.12, 4 Bi 3.12
Bi  0.7500  0.7500  0.7500  4 In 3.12, 4 Ni 3.12